Entry 1:
VASP calculation (PBE) on a relaxed Sm6P5Br crystal.

a = 7.167 Å, b = 12.384 Å, c = 7.136 Å
α = 90.00°, β = 109.55°, γ = 90.00°
Space group C2/m (No. 12)
Inequivalent atoms, fractional coordinates:
Sm  0.235  0.000  0.261 x4
Sm  0.236  0.176  0.740 x8
P  0.000  0.000  0.500 x2
P  0.000  0.167  0.000 x4
P  0.000  0.338  0.500 x4
Br  0.000  0.500  0.000 x2

Output
The calculation puts the formation energy (no corrections) at -19.098 eV/f.u. As for the total moment: 0.0 μB per cell. As for the raw total energy: -6.345 eV per atom.

---

Entry 2:
VASP calculation (PBE) on a relaxed Y3HPd crystal.

a = 4.735 Å, b = 4.735 Å, c = 4.735 Å
α = 90.00°, β = 90.00°, γ = 90.00°
Space group Pm-3m (No. 221)
Inequivalent atoms, fractional coordinates:
Y  0.000  0.000  0.500 x3
H  0.000  0.000  0.000 x1
Pd  0.500  0.500  0.500 x1

Output
The calculation puts the excess energy over the best structure of this formula in the dataset at 0.000 eV per formula unit. As for the total moment: 0.0 μB per cell. As for the raw total energy: -5.876 eV per atom.

---

Entry 3:
VASP calculation (PBE) on a relaxed La6CoAs2I3 crystal.

a = 7.655 Å, b = 13.067 Å, c = 8.140 Å
α = 90.00°, β = 108.79°, γ = 90.00°
Space group C2/m (No. 12)
Inequivalent atoms, fractional coordinates:
La  0.217  0.152  0.192 x8
La  0.243  0.500  0.209 x4
Co  0.000  0.000  0.000 x2
As  0.000  0.333  0.000 x4
I  0.000  0.178  0.500 x4
I  0.000  0.500  0.500 x2

Output
The calculation puts the formation energy (no corrections) at -13.522 eV/f.u. As for the total moment: 0.0 μB per cell. As for the raw total energy: -5.345 eV per atom.

---

Entry 4:
VASP calculation (PBE) on a relaxed CaZrPaO6 crystal.

a = 5.6596 Å, b = 5.6596 Å, c = 4.7374 Å
α = 90.00°, β = 90.00°, γ = 120.00°
Space group P312 (No. 149)
Inequivalent atoms, fractional coordinates:
Ca  0.0000  0.0000  0.0000 x1
Zr  0.3333  0.6667  0.0000 x1
Pa  0.6667  0.3333  0.5000 x1
O  0.0032  0.3634  0.2415 x6

Output
The calculation puts the formation energy (no corrections) at -27.389 eV/f.u. As for the total moment: 0.9 μB per cell. As for the raw total energy: -8.576 eV per atom.

---

Entry 5:
VASP calculation (PBE) on a relaxed FeCoBr2 crystal.

a = 3.638 Å, b = 3.509 Å, c = 7.212 Å
α = 90.00°, β = 91.53°, γ = 90.00°
Space group Pm (No. 6)
Inequivalent atoms, fractional coordinates:
Fe  0.000  0.000  0.000 x1
Co  0.447  0.500  0.070 x1
Br  0.179  0.500  0.764 x1
Br  0.643  0.000  0.290 x1

Output
The calculation puts the formation energy (no corrections) at 0.073 eV/f.u. The calculation puts the excess energy over the best structure of this formula in the dataset at 0.145 eV per formula unit. As for the total moment: 5.0 μB per cell. As for the raw total energy: -4.710 eV per atom.

---

Entry 6:
VASP calculation (PBE) on a relaxed PuMg2GaGe2 crystal.

a = 4.263 Å, b = 8.482 Å, c = 6.882 Å
α = 90.00°, β = 90.00°, γ = 90.00°
Space group Pmc2_1 (No. 26)
Inequivalent atoms, fractional coordinates:
Pu  0.000  0.061  0.000 x2
Mg  0.000  0.328  0.383 x2
Mg  0.500  0.425  0.062 x2
Ga  0.500  0.188  0.682 x2
Ge  0.000  0.362  0.780 x2
Ge  0.500  0.142  0.289 x2

Output
Its energy relative to the elements is -0.276 eV/atom. As for the total moment: 11.4 μB per cell. As for the raw total energy: -5.239 eV per atom.

---

no.,D(E_F) (states/eV/cell)
1,5.09
2,8.39
3,20.97
4,6.18
5,1.41
6,17.95